A plane-wave DFT calculation with GGA-PBE was carried out for an optimized crystal structure of LaCd2In2.

Computed properties:
Density of states at the Fermi level = 0.509 states/eV per atom
Total DFT energy (no corrections) = -2.707 eV/atom
DFT formation energy = -0.26 eV/atom

Lattice parameters (Å, degrees): 6.3583 6.3707 8.0738 67.74 67.60 68.24
Fractional coordinates of all 10 atoms:
La  0.7868  0.7877  0.3033
La  0.2132  0.2123  0.6967
Cd  0.8124  0.3657  0.1032
Cd  0.7239  0.7204  0.7485
Cd  0.2761  0.2796  0.2515
Cd  0.1876  0.6343  0.8968
In  0.3425  0.8285  0.1034
In  0.7839  0.2147  0.4965
In  0.6575  0.1715  0.8966
In  0.2161  0.7853  0.5035

A plane-wave DFT calculation with GGA-PBE was carried out for an optimized crystal structure of CsTbTl2Cl6.

Computed properties:
Density of states at the Fermi level = 0.000 states/eV per atom
Uncorrected formation energy = -1.753 eV per atom
Total DFT energy (no corrections) = -3.883 eV/atom

Lattice parameters (Å, degrees): 7.9849 7.9844 8.2938 61.21 61.21 59.96
Fractional coordinates of all 10 atoms:
Cs  0.8094  0.8094  0.5716
Tb  0.3236  0.3235  0.0293
Tl  0.5273  0.5273  0.4183
Tl  0.0150  0.0151  0.9551
Cl  0.5509  0.2292  0.2331
Cl  0.2290  0.9867  0.2333
Cl  0.9866  0.5513  0.2331
Cl  0.3917  0.6745  0.7804
Cl  0.6747  0.1530  0.7806
Cl  0.1534  0.3917  0.7804

A plane-wave DFT calculation with GGA-PBE was carried out for an optimized crystal structure of CsAs2P.

Computed properties:
Density of states at the Fermi level = 0.107 states/eV per atom
Total DFT energy (no corrections) = -4.012 eV/atom
DFT formation energy = -0.12 eV/atom

Lattice parameters (Å, degrees): 5.3021 6.6244 15.9438 93.12 90.00 90.00
Fractional coordinates of all 16 atoms:
Cs  0.8214  0.5051  0.1893
Cs  0.1786  0.4949  0.8107
Cs  0.3214  0.9949  0.3107
Cs  0.6786  0.0051  0.6893
As  0.0223  0.9973  0.8935
As  0.9777  0.0027  0.1065
As  0.5223  0.5027  0.6065
As  0.4777  0.4973  0.3935
As  0.3046  0.5588  0.0364
As  0.6954  0.4412  0.9636
As  0.8046  0.9412  0.4636
As  0.1954  0.0588  0.5364
P  0.7724  0.6023  0.4931
P  0.2276  0.3977  0.5069
P  0.2724  0.8977  0.0069
P  0.7276  0.1023  0.9931

A plane-wave DFT calculation with GGA-PBE was carried out for an optimized crystal structure of Ca2AlB2Ir5.

Computed properties:
Density of states at the Fermi level = 0.333 states/eV per atom
Total DFT energy (no corrections) = -7.120 eV/atom
DFT formation energy = -0.58 eV/atom

Lattice parameters (Å, degrees): 2.9868 9.7586 9.7586 90.00 90.00 90.00
Fractional coordinates of all 20 atoms:
Ca  0.0000  0.6784  0.1784
Ca  0.0000  0.3216  0.8216
Ca  0.0000  0.1784  0.3216
Ca  0.0000  0.8216  0.6784
Al  0.0000  0.0000  0.0000
Al  0.0000  0.5000  0.5000
B  0.0000  0.1232  0.6232
B  0.0000  0.8768  0.3768
B  0.0000  0.6232  0.8768
B  0.0000  0.3768  0.1232
Ir  0.5000  0.2184  0.0664
Ir  0.5000  0.7816  0.9336
Ir  0.5000  0.0664  0.7816
Ir  0.5000  0.7184  0.4336
Ir  0.5000  0.9336  0.2184
Ir  0.5000  0.2816  0.5664
Ir  0.5000  0.5664  0.7184
Ir  0.5000  0.4336  0.2816
Ir  0.5000  0.5000  0.0000
Ir  0.5000  0.0000  0.5000

A plane-wave DFT calculation with GGA-PBE was carried out for an optimized crystal structure of CsPmBeS3.

Computed properties:
Density of states at the Fermi level = 0.000 states/eV per atom
Uncorrected formation energy = -1.528 eV per atom
Total DFT energy (no corrections) = -5.147 eV/atom

Lattice parameters (Å, degrees): 3.9976 9.6904 9.5486 111.02 90.00 90.00
Fractional coordinates of all 12 atoms:
Cs  0.2500  0.2046  0.2388
Cs  0.7500  0.7954  0.7612
Pm  0.2500  0.6670  0.1522
Pm  0.7500  0.3330  0.8478
Be  0.2500  0.0724  0.6056
Be  0.7500  0.9276  0.3944
S  0.7500  0.8761  0.1656
S  0.2500  0.1239  0.8344
S  0.2500  0.8485  0.4671
S  0.7500  0.1515  0.5329
S  0.7500  0.4679  0.1592
S  0.2500  0.5321  0.8408

A plane-wave DFT calculation with GGA-PBE was carried out for an optimized crystal structure of ZrGaBr3.

Computed properties:
Density of states at the Fermi level = 0.540 states/eV per atom
Uncorrected formation energy = 0.123 eV per atom
Total DFT energy (no corrections) = -3.196 eV/atom
ΔE to the lowest computed polymorph = 0.732 eV/atom

Lattice parameters (Å, degrees): 5.3321 5.3321 5.3321 90.00 90.00 90.00
Each line ends with the local moment (μB).
Fractional coordinates of all 5 atoms:
Ga  0.0000  0.0000  0.0000  -0.01
Br  0.0000  0.5000  0.0000  -0.02
Br  0.0000  0.0000  0.5000  0.00
Br  0.5000  0.0000  0.0000  -0.02
Zr  0.5000  0.5000  0.5000  1.71

A plane-wave DFT calculation with GGA-PBE was carried out for an optimized crystal structure of AcBeGe3.

Computed properties:
Density of states at the Fermi level = 0.285 states/eV per atom
Total DFT energy (no corrections) = -4.444 eV/atom
DFT formation energy = -0.11 eV/atom

Lattice parameters (Å, degrees): 4.7326 4.7326 4.7326 90.00 90.00 90.00
Fractional coordinates of all 5 atoms:
Be  0.0000  0.0000  0.0000
Ac  0.5000  0.5000  0.5000
Ge  0.0000  0.5000  0.0000
Ge  0.0000  0.0000  0.5000
Ge  0.5000  0.0000  0.0000

A plane-wave DFT calculation with GGA-PBE was carried out for an optimized crystal structure of LiZn2Hg2Pd5.

Computed properties:
Density of states at the Fermi level = 0.388 states/eV per atom
Total DFT energy (no corrections) = -3.349 eV/atom
DFT formation energy = -0.25 eV/atom

Lattice parameters (Å, degrees): 3.7460 9.4104 9.4104 90.00 90.00 90.00
Fractional coordinates of all 20 atoms:
Li  0.0000  0.0000  0.0000
Li  0.0000  0.5000  0.5000
Zn  0.0000  0.1294  0.6294
Zn  0.0000  0.8706  0.3706
Zn  0.0000  0.6294  0.8706
Zn  0.0000  0.3706  0.1294
Hg  0.0000  0.6702  0.1702
Hg  0.0000  0.3298  0.8298
Hg  0.0000  0.1702  0.3298
Hg  0.0000  0.8298  0.6702
Pd  0.5000  0.1925  0.0799
Pd  0.5000  0.8075  0.9201
Pd  0.5000  0.0799  0.8075
Pd  0.5000  0.6925  0.4201
Pd  0.5000  0.9201  0.1925
Pd  0.5000  0.3075  0.5799
Pd  0.5000  0.5799  0.6925
Pd  0.5000  0.4201  0.3075
Pd  0.5000  0.5000  0.0000
Pd  0.5000  0.0000  0.5000